Cu3Br | the Alexandria database | PBE | relaxed; theoretical density = 7.244 g/cm³; DFT total energy = -2.947 eV/atom; total magnetization = 0.0 Bohr magnetons per cell; formation energy from raw total energies = 0.543 eV per atom
1.0
4.9872 0.0000 0.0000
0.0000 4.9872 0.0000
0.0000 0.0000 4.9872
Cu Br
6 2
direct
0.0000 0.2500 0.5000
0.0000 0.7500 0.5000
0.2500 0.5000 0.0000
0.5000 0.0000 0.2500
0.5000 0.0000 0.7500
0.7500 0.5000 0.0000
0.0000 0.0000 0.0000
0.5000 0.5000 0.5000